Entry 1:
The following is a GGA-PBEsol calculation of a geometry-optimized MgCd structure, from Alexandria via LeMat-Bulk.

a = 3.203 Å, b = 3.203 Å, c = 9.546 Å
α = 90.00°, β = 90.00°, γ = 120.00°
Atoms (fractional coordinates):
Mg 0.000 0.000 0.000
Mg 0.000 0.000 0.500
Cd 0.333 0.667 0.250
Cd 0.667 0.333 0.750

Results
Final energy, Ry/atom: -0.112
E_form, eV per atom: -0.07
Total magnetic moment, μB per atom: 0.00

***

Entry 2:
The following is a GGA-PBEsol calculation of a geometry-optimized Mg5Cd24 structure, from Alexandria via LeMat-Bulk.

a = 9.272 Å, b = 9.272 Å, c = 9.272 Å
α = 109.47°, β = 109.47°, γ = 109.47°
Atoms (fractional coordinates):
Mg 0.000 0.000 0.000
Mg 0.000 0.000 0.639
Mg 0.000 0.639 0.000
Mg 0.361 0.361 0.361
Mg 0.639 0.000 0.000
Cd 0.000 0.191 0.377
Cd 0.000 0.377 0.191
Cd 0.000 0.410 0.686
Cd 0.000 0.686 0.410
Cd 0.187 0.809 0.809
Cd 0.191 0.000 0.377
Cd 0.191 0.377 0.000
Cd 0.276 0.590 0.590
Cd 0.314 0.314 0.724
Cd 0.314 0.724 0.314
Cd 0.377 0.000 0.191
Cd 0.377 0.191 0.000
Cd 0.410 0.000 0.686
Cd 0.410 0.686 0.000
Cd 0.590 0.276 0.590
Cd 0.590 0.590 0.276
Cd 0.623 0.623 0.813
Cd 0.623 0.813 0.623
Cd 0.686 0.000 0.410
Cd 0.686 0.410 0.000
Cd 0.724 0.314 0.314
Cd 0.809 0.187 0.809
Cd 0.809 0.809 0.187
Cd 0.813 0.623 0.623

Results
Final energy, Ry/atom: -0.097
E_form, eV per atom: -0.04
Total magnetic moment, μB per atom: 0.00

***

Entry 3:
The following is a GGA-PBEsol calculation of a geometry-optimized Mg8Cd structure, from Alexandria via LeMat-Bulk.

a = 7.049 Å, b = 7.049 Å, c = 7.049 Å
α = 95.71°, β = 95.71°, γ = 143.23°
Atoms (fractional coordinates):
Mg 0.000 0.331 0.331
Mg 0.000 0.669 0.669
Mg 0.331 0.000 0.331
Mg 0.336 0.336 0.672
Mg 0.336 0.664 0.000
Mg 0.664 0.336 0.000
Mg 0.664 0.664 0.328
Mg 0.669 0.000 0.669
Cd 0.000 0.000 0.000

Results
Final energy, Ry/atom: -0.124
E_form, eV per atom: -0.02
Total magnetic moment, μB per atom: 0.00

***

Entry 4:
The following is a GGA-PBEsol calculation of a geometry-optimized Mg2Cd structure, from Alexandria via LeMat-Bulk.

a = 13.636 Å, b = 13.636 Å, c = 13.636 Å
α = 161.55°, β = 161.55°, γ = 26.20°
Atoms (fractional coordinates):
Mg 0.041 0.791 0.250
Mg 0.124 0.374 0.750
Mg 0.209 0.959 0.250
Mg 0.374 0.124 0.250
Mg 0.626 0.876 0.750
Mg 0.791 0.041 0.750
Mg 0.876 0.626 0.250
Mg 0.959 0.209 0.750
Cd 0.292 0.542 0.750
Cd 0.458 0.708 0.750
Cd 0.542 0.292 0.250
Cd 0.708 0.458 0.250

Results
Final energy, Ry/atom: -0.119
E_form, eV per atom: -0.08
Total magnetic moment, μB per atom: 0.00

***

Entry 5:
The following is a GGA-PBEsol calculation of a geometry-optimized Mg5Cd structure, from Alexandria via LeMat-Bulk.

a = 5.055 Å, b = 8.309 Å, c = 8.309 Å
α = 21.97°, β = 90.00°, γ = 90.00°
Atoms (fractional coordinates):
Mg 0.000 0.000 0.000
Mg 0.000 0.328 0.328
Mg 0.500 0.218 0.218
Mg 0.500 0.553 0.553
Mg 0.500 0.887 0.887
Cd 0.000 0.663 0.663

Results
Final energy, Ry/atom: -0.123
E_form, eV per atom: -0.04
Total magnetic moment, μB per atom: 0.00

***

Entry 6:
The following is a GGA-PBEsol calculation of a geometry-optimized MgCd5 structure, from Alexandria via LeMat-Bulk.

a = 3.157 Å, b = 3.157 Å, c = 14.518 Å
α = 90.00°, β = 90.00°, γ = 120.00°
Atoms (fractional coordinates):
Mg 0.000 0.000 0.000
Cd 0.000 0.000 0.333
Cd 0.000 0.000 0.667
Cd 0.333 0.667 0.166
Cd 0.333 0.667 0.500
Cd 0.333 0.667 0.834

Results
Final energy, Ry/atom: -0.096
E_form, eV per atom: -0.02
Total magnetic moment, μB per atom: 0.00

***

Entry 7:
The following is a GGA-PBEsol calculation of a geometry-optimized MgCd3 structure, from Alexandria via LeMat-Bulk.

a = 6.247 Å, b = 6.247 Å, c = 4.979 Å
α = 90.00°, β = 90.00°, γ = 121.45°
Atoms (fractional coordinates):
Mg 0.089 0.911 0.750
Mg 0.911 0.089 0.250
Cd 0.084 0.410 0.750
Cd 0.410 0.084 0.250
Cd 0.412 0.588 0.250
Cd 0.588 0.412 0.750
Cd 0.590 0.916 0.750
Cd 0.916 0.590 0.250

Results
Final energy, Ry/atom: -0.102
Energy relative to the lowest polymorph listed for this composition, kJ per mole of atoms: 1.85
E_form, eV per atom: -0.06
Total magnetic moment, μB per atom: 0.00

***

Entry 8:
The following is a GGA-PBEsol calculation of a geometry-optimized Mg2Cd structure, from Alexandria via LeMat-Bulk.

a = 8.145 Å, b = 8.145 Å, c = 5.000 Å
α = 90.00°, β = 90.00°, γ = 157.64°
Atoms (fractional coordinates):
Mg 0.056 0.944 0.750
Mg 0.275 0.725 0.250
Mg 0.725 0.275 0.750
Mg 0.944 0.056 0.250
Cd 0.388 0.612 0.750
Cd 0.612 0.388 0.250

Results
Final energy, Ry/atom: -0.120
E_form, eV per atom: -0.09
Total magnetic moment, μB per atom: 0.00